{
  "formula": "CrInTe2",
  "functional": "GGA-PBE",
  "state": "relaxed",
  "cell": [[-1.824, 1.893, 8.216], [1.824, -1.893, 8.216], [1.824, 1.893, -8.216]],
  "species": ["Cr", "In", "Te", "Te"],
  "frac_coords": [[0.000, 0.000, 0.000], [0.254, 0.754, 0.500], [0.568, 0.568, 0.000], [0.875, 0.375, 0.500]],
  "formation_energy_uncorrected_ev_per_atom": -0.007,
  "vol_a3_per_atom": 28.37,
  "dos_at_fermi_per_ev_atom": 0.38,
  "final_energy_ev_per_cell": -18.674
}



{
  "formula": "CrInTe2",
  "functional": "GGA-PBE",
  "state": "relaxed",
  "cell": [[4.266, 0.000, 0.000], [0.000, 4.266, 0.000], [0.000, 0.000, 5.993]],
  "species": ["Cr", "In", "Te", "Te"],
  "frac_coords": [[0.000, 0.000, 0.000], [0.500, 0.500, 0.500], [0.000, 0.000, 0.500], [0.500, 0.500, 0.000]],
  "formation_energy_uncorrected_ev_per_atom": -0.078,
  "vol_a3_per_atom": 27.26,
  "dos_at_fermi_per_ev_atom": 0.53,
  "final_energy_ev_per_cell": -18.958
}



{
  "formula": "CrInTe2",
  "functional": "GGA-PBE",
  "state": "relaxed",
  "cell": [[-2.044, 3.337, 4.345], [2.044, -3.337, 4.345], [2.044, 3.337, -4.345]],
  "species": ["Cr", "In", "Te", "Te"],
  "frac_coords": [[0.000, 0.000, 0.000], [0.500, 0.500, 0.000], [0.201, 0.701, 0.500], [0.799, 0.299, 0.500]],
  "formation_energy_uncorrected_ev_per_atom": 0.077,
  "vol_a3_per_atom": 29.64,
  "dos_at_fermi_per_ev_atom": 0.57,
  "final_energy_ev_per_cell": -18.339
}



{
  "formula": "CrInTe2",
  "functional": "GGA-PBE",
  "state": "relaxed",
  "cell": [[3.361, 0.000, 0.000], [0.000, 4.009, 0.000], [-1.637, 0.000, 8.265]],
  "species": ["Cr", "In", "Te", "Te"],
  "frac_coords": [[0.000, 0.000, 0.000], [0.500, 0.000, 0.500], [0.117, 0.500, 0.790], [0.883, 0.500, 0.210]],
  "formation_energy_uncorrected_ev_per_atom": 0.044,
  "vol_a3_per_atom": 27.84,
  "dos_at_fermi_per_ev_atom": 0.42,
  "final_energy_ev_per_cell": -18.470
}



{
  "formula": "CrInTe2",
  "functional": "GGA-PBE",
  "state": "relaxed",
  "cell": [[5.080, -1.966, 0.000], [5.080, 1.966, 0.000], [-2.602, 0.000, 6.101]],
  "species": ["Cr", "In", "Te", "Te"],
  "frac_coords": [[0.000, 0.000, 0.000], [0.732, 0.732, 0.991], [0.418, 0.418, 0.696], [0.584, 0.584, 0.303]],
  "formation_energy_uncorrected_ev_per_atom": 0.004,
  "vol_a3_per_atom": 30.47,
  "dos_at_fermi_per_ev_atom": 0.52,
  "final_energy_ev_per_cell": -18.628
}



{
  "formula": "Cr2InTe4",
  "functional": "GGA-PBE",
  "state": "relaxed",
  "cell": [[1.983, -6.659, 0.000], [1.983, 6.659, 0.000], [0.000, 0.000, 13.924]],
  "species": ["Cr", "Cr", "Cr", "Cr", "In", "In", "Te", "Te", "Te", "Te", "Te", "Te", "Te", "Te"],
  "frac_coords": [[0.134, 0.866, 0.565], [0.134, 0.866, 0.935], [0.866, 0.134, 0.065], [0.866, 0.134, 0.435], [0.397, 0.603, 0.750], [0.603, 0.397, 0.250], [0.064, 0.936, 0.750], [0.231, 0.769, 0.107], [0.231, 0.769, 0.393], [0.500, 0.500, 0.000], [0.500, 0.500, 0.500], [0.769, 0.231, 0.607], [0.769, 0.231, 0.893], [0.936, 0.064, 0.250]],
  "formation_energy_uncorrected_ev_per_atom": -0.158,
  "relative_energy_ev_per_atom": 0.0730,
  "vol_a3_per_atom": 26.26,
  "dos_at_fermi_per_ev_atom": 0.41,
  "final_energy_ev_per_cell": -71.318
}



{
  "formula": "CrInTe2",
  "functional": "GGA-PBE",
  "state": "relaxed",
  "cell": [[1.740, 1.005, 10.118], [-1.740, 1.005, 10.118], [0.000, -2.009, 10.118]],
  "species": ["Cr", "In", "Te", "Te"],
  "frac_coords": [[0.000, 0.000, 0.000], [0.500, 0.500, 0.500], [0.389, 0.389, 0.389], [0.611, 0.611, 0.611]],
  "formation_energy_uncorrected_ev_per_atom": 0.039,
  "vol_a3_per_atom": 26.54,
  "dos_at_fermi_per_ev_atom": 2.04,
  "final_energy_ev_per_cell": -18.487
}



{
  "formula": "CrInTe2",
  "functional": "GGA-PBE",
  "state": "relaxed",
  "cell": [[0.000, 3.736, 3.736], [3.736, 0.000, 3.736], [3.736, 3.736, 0.000]],
  "species": ["Cr", "In", "Te", "Te"],
  "frac_coords": [[0.000, 0.000, 0.000], [0.250, 0.250, 0.250], [0.500, 0.500, 0.500], [0.750, 0.750, 0.750]],
  "formation_energy_uncorrected_ev_per_atom": 0.435,
  "vol_a3_per_atom": 26.08,
  "dos_at_fermi_per_ev_atom": 0.66,
  "final_energy_ev_per_cell": -16.905
}



{
  "formula": "CrInTe2",
  "functional": "GGA-PBE",
  "state": "relaxed",
  "cell": [[2.062, 1.191, 7.498], [-2.062, 1.191, 7.498], [0.000, -2.381, 7.498]],
  "species": ["Cr", "In", "Te", "Te"],
  "frac_coords": [[0.000, 0.000, 0.000], [0.500, 0.500, 0.500], [0.269, 0.269, 0.269], [0.731, 0.731, 0.731]],
  "formation_energy_uncorrected_ev_per_atom": -0.192,
  "vol_a3_per_atom": 27.62,
  "dos_at_fermi_per_ev_atom": 0.38,
  "final_energy_ev_per_cell": -19.412
}



{
  "formula": "CrInTe2",
  "functional": "GGA-PBE",
  "state": "relaxed",
  "cell": [[3.329, 0.000, 0.000], [0.000, 3.329, 0.000], [0.000, 0.000, 9.391]],
  "species": ["Cr", "In", "Te", "Te"],
  "frac_coords": [[0.000, 0.000, 0.000], [0.500, 0.500, 0.213], [0.000, 0.000, 0.500], [0.500, 0.500, 0.852]],
  "formation_energy_uncorrected_ev_per_atom": 0.171,
  "vol_a3_per_atom": 26.03,
  "dos_at_fermi_per_ev_atom": 0.51,
  "final_energy_ev_per_cell": -17.960
}



{
  "formula": "CrInTe2",
  "functional": "GGA-PBE",
  "state": "relaxed",
  "cell": [[3.556, 0.000, 0.000], [0.000, 3.556, 0.000], [0.000, 0.000, 8.181]],
  "species": ["Cr", "In", "Te", "Te"],
  "frac_coords": [[0.000, 0.000, 0.000], [0.000, 0.000, 0.500], [0.500, 0.500, 0.199], [0.500, 0.500, 0.801]],
  "formation_energy_uncorrected_ev_per_atom": 0.087,
  "vol_a3_per_atom": 25.86,
  "dos_at_fermi_per_ev_atom": 0.59,
  "final_energy_ev_per_cell": -18.299
}



{
  "formula": "CrInTe2",
  "functional": "GGA-PBE",
  "state": "relaxed",
  "cell": [[2.036, 1.175, 7.761], [-2.036, 1.175, 7.761], [0.000, -2.351, 7.761]],
  "species": ["Cr", "In", "Te", "Te"],
  "frac_coords": [[0.000, 0.000, 0.000], [0.835, 0.835, 0.835], [0.395, 0.395, 0.395], [0.603, 0.603, 0.603]],
  "formation_energy_uncorrected_ev_per_atom": -0.190,
  "vol_a3_per_atom": 27.86,
  "dos_at_fermi_per_ev_atom": 0.25,
  "final_energy_ev_per_cell": -19.406
}